Here is a geometry-optimized YSi4Ni structure from Alexandria via LeMat-Bulk. Energies are from PBE.

Lattice parameters (Å, degrees): 5.115 5.115 5.115 60.00 60.00 60.00
Atoms (fractional coordinates):
Y 0.000 0.000 0.000
Si 0.377 0.377 0.377
Si 0.377 0.377 0.869
Si 0.377 0.869 0.377
Si 0.869 0.377 0.377
Ni 0.750 0.750 0.750

Properties
- Volume: 94.6 Å³ per cell
- SG: F-43m (216)
- Theoretical density: 4.56 g cm⁻³
- Uncorrected formation energy: 11 meV/atom
- Magnetization: 0.0767 μB per atom